[1]
HfZnF2 | GGA-PBE | optimized geometry

a = 4.073 Å, b = 4.073 Å, c = 14.367 Å
α = 90.00°, β = 90.00°, γ = 90.00°
Sites, in units of the cell vectors:
Hf 0.000 0.000 0.000
Hf 0.000 0.500 0.250
Hf 0.500 0.000 0.750
Hf 0.500 0.500 0.500
Zn 0.000 0.000 0.500
Zn 0.000 0.500 0.750
Zn 0.500 0.000 0.250
Zn 0.500 0.500 0.000
F 0.129 0.250 0.125
F 0.250 0.629 0.375
F 0.250 0.871 0.875
F 0.371 0.250 0.625
F 0.629 0.750 0.625
F 0.750 0.129 0.875
F 0.750 0.371 0.375
F 0.871 0.750 0.125

Output
- total moment (μB per formula unit) = 0.00

[2]
HfZn2F8 | GGA-PBE | optimized geometry

a = 6.479 Å, b = 6.479 Å, c = 4.057 Å
α = 90.00°, β = 90.00°, γ = 120.00°
Sites, in units of the cell vectors:
Hf 0.000 0.000 0.000
Zn 0.333 0.667 0.735
Zn 0.667 0.333 0.265
F 0.154 0.307 0.746
F 0.154 0.846 0.746
F 0.307 0.154 0.254
F 0.333 0.667 0.239
F 0.667 0.333 0.761
F 0.693 0.846 0.746
F 0.846 0.154 0.254
F 0.846 0.693 0.254

Output
- total moment (μB per formula unit) = 0.00

[3]
HfZnF3 | GGA-PBE | optimized geometry

a = 4.281 Å, b = 4.281 Å, c = 4.281 Å
α = 90.00°, β = 90.00°, γ = 90.00°
Sites, in units of the cell vectors:
Hf 0.000 0.000 0.000
Zn 0.500 0.500 0.500
F 0.000 0.000 0.500
F 0.000 0.500 0.000
F 0.500 0.000 0.000

Output
- total moment (μB per formula unit) = 0.99

| no. | excess energy over the best structure of this formula in the dataset (meV/atom) | ΔE_f (raw) (eV per atom) | total DFT energy (no corrections) (eV/atom) |
| --- | --- | --- | --- |
| 1 | 177 | -1.690 | -5.4321 |
| 2 | 60 | -2.890 | -5.3874 |
| 3 | 0 | -2.274 | -5.6427 |